UP2: relaxed, GGA-PBE.

Cell lengths 11.759, 11.759, 11.759 Å; angles 90.00, 90.00, 90.00 degrees
Space group Fd-3m (No. 227, origin choice 2)
Symmetry-distinct sites (fractional):
U: 0.125 0.125 0.125 [8 per cell]
P: 0.000 0.000 0.000 [16 per cell]

Results
Total energy: -159.89 eV for the cell shown

=====

UP: relaxed, GGA-PBE.

Cell lengths 3.7510, 3.7510, 3.6265 Å; angles 90.00, 90.00, 120.00 degrees
Space group P-6m2 (No. 187)
Symmetry-distinct sites (fractional):
U: 0.0000 0.0000 0.0000 [1 per cell]
P: 0.3333 0.6667 0.5000 [1 per cell]

Results
Total energy: -18.03 eV for the cell shown

=====

UP: relaxed, GGA-PBE.

Cell lengths 6.196, 6.196, 6.196 Å; angles 90.00, 90.00, 90.00 degrees
Space group F-43m (No. 216)
Symmetry-distinct sites (fractional):
U: 0.000 0.000 0.000 [4 per cell]
P: 0.250 0.250 0.250 [4 per cell]

Results
Total energy: -67.28 eV for the cell shown

=====

ZrUP: relaxed, GGA-PBE.

Cell lengths 3.743, 3.743, 7.872 Å; angles 90.00, 90.00, 90.00 degrees
Space group P4/nmm (No. 129, origin choice 2)
Symmetry-distinct sites (fractional):
Zr: 0.250 0.250 0.135 [2 per cell]
U: 0.250 0.750 0.500 [2 per cell]
P: 0.250 0.250 0.787 [2 per cell]

Results
Total energy: -56.19 eV for the cell shown

=====

P2W: relaxed, GGA-PBE.

Cell lengths 8.521, 3.185, 7.503 Å; angles 90.00, 119.24, 90.00 degrees
Space group C2/m (No. 12)
Symmetry-distinct sites (fractional):
P: 0.100 0.000 0.399 [4 per cell]
P: 0.138 0.500 0.025 [4 per cell]
W: 0.158 0.500 0.707 [4 per cell]

Results
E above lowest polymorph: 0 meV per atom

=====

P6W: relaxed, GGA-PBE.

Cell lengths 5.6997, 5.6997, 14.2659 Å; angles 90.00, 90.00, 120.00 degrees
Space group R-3 (No. 148, hexagonal axes)
Symmetry-distinct sites (fractional):
P: 0.0047 0.7015 0.1222 [18 per cell]
W: 0.0000 0.0000 0.0000 [3 per cell]

Results
Total energy: -130.66 eV for the cell shown

=====

P2W: relaxed, GGA-PBE.

Cell lengths 6.057, 6.057, 3.091 Å; angles 90.00, 90.00, 90.00 degrees
Space group P4_2/mnm (No. 136)
Symmetry-distinct sites (fractional):
P: 0.212 0.212 0.000 [4 per cell]
W: 0.000 0.000 0.500 [2 per cell]

Results
E above lowest polymorph: 328 meV per atom

=====

P2W: relaxed, GGA-PBE.

Cell lengths 6.929, 6.929, 6.929 Å; angles 90.00, 90.00, 90.00 degrees
Space group Fd-3m (No. 227, origin choice 2)
Symmetry-distinct sites (fractional):
P: 0.000 0.000 0.000 [16 per cell]
W: 0.125 0.125 0.625 [8 per cell]

Results
E above lowest polymorph: 1270 meV per atom

=====

ZnP2: relaxed, GGA-PBE.

Cell lengths 8.849, 7.327, 7.609 Å; angles 90.00, 102.90, 90.00 degrees
Space group P2_1/c (No. 14)
Symmetry-distinct sites (fractional):
Zn: 0.078 0.239 0.144 [4 per cell]
Zn: 0.387 0.587 0.472 [4 per cell]
P: 0.082 0.748 0.647 [4 per cell]
P: 0.234 0.511 0.181 [4 per cell]
P: 0.244 0.517 0.693 [4 per cell]
P: 0.383 0.582 0.975 [4 per cell]

Results
Total energy: -98.10 eV for the cell shown

=====

ZnP2: relaxed, GGA-PBE.

Cell lengths 10.338, 10.338, 10.338 Å; angles 90.00, 90.00, 90.00 degrees
Space group Fd-3m (No. 227, origin choice 2)
Symmetry-distinct sites (fractional):
Zn: 0.125 0.125 0.125 [8 per cell]
P: 0.000 0.000 0.000 [16 per cell]

Results
Total energy: -62.28 eV for the cell shown

=====

Zn3P2: relaxed, GGA-PBE.

Cell lengths 8.091, 8.091, 11.409 Å; angles 90.00, 90.00, 90.00 degrees
Space group P4_2/nmc (No. 137, origin choice 2)
Symmetry-distinct sites (fractional):
Zn: 0.003 0.750 0.103 [8 per cell]
Zn: 0.033 0.250 0.634 [8 per cell]
Zn: 0.033 0.750 0.644 [8 per cell]
P: 0.004 0.504 0.250 [8 per cell]
P: 0.250 0.250 0.496 [4 per cell]
P: 0.250 0.750 0.504 [4 per cell]

Results
E above lowest polymorph: 0 meV per atom

=====

ZnP2: relaxed, GGA-PBE.

Cell lengths 8.875, 7.295, 7.577 Å; angles 90.00, 102.33, 90.00 degrees
Space group P2_1/c (No. 14)
Symmetry-distinct sites (fractional):
Zn: 0.081 0.247 0.394 [4 per cell]
Zn: 0.393 0.596 0.225 [4 per cell]
P: 0.078 0.743 0.896 [4 per cell]
P: 0.235 0.519 0.440 [4 per cell]
P: 0.243 0.515 0.928 [4 per cell]
P: 0.375 0.573 0.716 [4 per cell]

Results
Total energy: -102.54 eV for the cell shown